Density functional theory data (PBE) for crystalline KLaRu2 at its relaxed geometry.

## Properties
The energy relative to the lowest polymorph listed for this composition comes out at 679.8 meV/atom. The value obtained for the final energy is -5.178 eV/atom. The space group is Fm-3m, No. 225. The energy of formation from the pure elements comes out at 93.2 kJ per mole of atoms.

Unit cell a=4.9675 b=4.9675 c=4.9675 alpha=60.00 beta=60.00 gamma=60.00
Atoms (fractional coordinates):
1 La 0.5000 0.5000 0.5000
2 K 0.0000 0.0000 0.0000
3 Ru 0.7500 0.7500 0.7500
4 Ru 0.2500 0.2500 0.2500